A relaxed Dy2CuPt3 crystal, computed with GGA-PBE.

Space-group type: R-3m, No. 166
N(E_F), states/eV/cell: 3.57
Calculated formation energy, eV/atom: -0.9882

Cell: 5.258 5.258 5.258 Å, 63.27 63.27 63.27°
Fractional coordinates of all 6 atoms:
Pt: 0.500 0.000 0.000
Pt: 0.000 0.000 0.500
Pt: 0.000 0.500 0.000
Cu: 0.000 0.000 0.000
Dy: 0.373 0.373 0.373
Dy: 0.627 0.627 0.627

***

A relaxed Th6TcSb2 crystal, computed with GGA-PBE.

Formation energy (no corrections), eV per atom: -0.397
Space-group type: P2_1/c, No. 14
N(E_F), states/eV/cell: 18.34
Polymorph energy (0 for the lowest one), eV per atom: 0.1265

Cell: 6.377 8.234 10.460 Å, 90.00 92.37 90.00°
Fractional coordinates of all 18 atoms:
Sb: 0.096 0.612 0.246
Sb: 0.596 0.888 0.746
Sb: 0.904 0.388 0.754
Sb: 0.404 0.112 0.254
Th: 0.623 0.191 0.544
Th: 0.377 0.809 0.456
Th: 0.363 0.826 0.038
Th: 0.115 0.020 0.751
Th: 0.863 0.674 0.538
Th: 0.615 0.480 0.251
Th: 0.385 0.520 0.749
Th: 0.885 0.980 0.249
Th: 0.637 0.174 0.962
Th: 0.123 0.309 0.044
Th: 0.137 0.326 0.462
Th: 0.877 0.691 0.956
Tc: 0.000 0.000 0.500
Tc: 0.500 0.500 0.000

***

A relaxed BaScW2 crystal, computed with GGA-PBE.

Space-group type: Pm, No. 6
N(E_F), states/eV/cell: 4.03
Polymorph energy (0 for the lowest one), eV per atom: 0.1825
Calculated formation energy, eV/atom: 0.6923

Cell: 4.186 3.057 7.961 Å, 90.06 90.00 90.00°
Fractional coordinates of all 4 atoms:
W: 0.000 0.985 0.029
W: 0.500 0.293 0.162
Ba: 0.000 0.622 0.469
Sc: 0.500 0.601 0.840

***

A relaxed SrHoZn2Ge2 crystal, computed with GGA-PBE.

Space-group type: P-3m1, No. 164
N(E_F), states/eV/cell: 3.60
Calculated formation energy, eV/atom: -0.5654

Cell: 4.282 4.282 8.496 Å, 90.00 90.00 120.00°
Fractional coordinates of all 6 atoms:
Sr: 0.000 0.000 0.000
Zn: 0.667 0.333 0.290
Zn: 0.333 0.667 0.710
Ge: 0.333 0.667 0.268
Ge: 0.667 0.333 0.732
Ho: 0.000 0.000 0.500

***

A relaxed Cu4TcSe crystal, computed with GGA-PBE.

Formation energy (no corrections), eV per atom: 0.422
Space-group type: F-43m, No. 216
N(E_F), states/eV/cell: 5.34

Cell: 4.909 4.909 4.909 Å, 60.00 60.00 60.00°
Last column: magnetic moment on the atom in μB.
Fractional coordinates of all 6 atoms:
Cu: 0.123 0.626 0.626  0.09
Cu: 0.626 0.626 0.123  0.09
Cu: 0.626 0.626 0.626  0.09
Cu: 0.626 0.123 0.626  0.09
Tc: 0.000 0.000 0.000  2.03
Se: 0.250 0.250 0.250  0.00

***

A relaxed AlFeSe2 crystal, computed with GGA-PBE.

Formation energy (no corrections), eV per atom: 0.052
Space-group type: Immm, No. 71
N(E_F), states/eV/cell: 2.85

Cell: 5.389 5.389 5.389 Å, 142.43 96.41 95.49°
Last column: magnetic moment on the atom in μB.
Fractional coordinates of all 4 atoms:
Se: 0.506 0.506 0.000  0.05
Se: 0.994 0.994 0.000  0.05
Fe: 0.750 0.250 0.500  2.94
Al: 0.250 0.750 0.500  -0.03

***

A relaxed CaSiSe4 crystal, computed with GGA-PBE.

Formation energy (no corrections), eV per atom: 0.195
Space-group type: F-43m, No. 216
N(E_F), states/eV/cell: 4.75

Cell: 5.787 5.787 5.787 Å, 60.00 60.00 60.00°
Fractional coordinates of all 6 atoms:
Si: 0.750 0.750 0.750
Se: 0.375 0.375 0.375
Se: 0.375 0.875 0.375
Se: 0.875 0.375 0.375
Se: 0.375 0.375 0.875
Ca: 0.000 0.000 0.000

***

A relaxed MnNbRh crystal, computed with GGA-PBE.

Space-group type: Cm, No. 8
N(E_F), states/eV/cell: 13.51
Calculated formation energy, eV/atom: -0.0660

Cell: 5.245 4.855 8.516 Å, 90.00 125.49 90.00°
Last column: magnetic moment on the atom in μB.
Fractional coordinates of all 12 atoms:
Nb: 0.933 0.000 0.975  -0.17
Nb: 0.318 0.500 0.069  -0.19
Nb: 0.318 0.000 0.569  -0.19
Nb: 0.933 0.500 0.475  -0.17
Mn: 0.902 0.261 0.210  0.60
Mn: 0.902 0.761 0.710  0.60
Mn: 0.902 0.239 0.710  0.60
Mn: 0.902 0.739 0.210  0.60
Rh: 0.419 0.000 0.949  0.07
Rh: 0.580 0.000 0.332  0.04
Rh: 0.580 0.500 0.832  0.04
Rh: 0.419 0.500 0.449  0.07

***

A relaxed NbAl3Au crystal, computed with GGA-PBE.

Space-group type: Pm-3m, No. 221
N(E_F), states/eV/cell: 4.72
Polymorph energy (0 for the lowest one), eV per atom: 0.0000
Calculated formation energy, eV/atom: 0.7181

Cell: 4.757 4.757 4.757 Å, 90.00 90.00 90.00°
Last column: magnetic moment on the atom in μB.
Fractional coordinates of all 5 atoms:
Al: 0.500 0.000 0.000  0.00
Al: 0.000 0.500 0.000  -0.01
Al: 0.000 0.000 0.500  -0.02
Au: 0.000 0.000 0.000  -0.01
Nb: 0.500 0.500 0.500  1.34

***

A relaxed RbTl3Au3 crystal, computed with GGA-PBE.

Space-group type: P6_3/m, No. 176
N(E_F), states/eV/cell: 3.95
Polymorph energy (0 for the lowest one), eV per atom: 0.0000
Calculated formation energy, eV/atom: -0.1164

Cell: 4.695 10.207 10.207 Å, 120.00 90.00 90.00°
Fractional coordinates of all 14 atoms:
Rb: 0.250 0.667 0.333
Rb: 0.750 0.333 0.667
Au: 0.250 0.560 0.964
Au: 0.750 0.596 0.561
Au: 0.750 0.964 0.404
Au: 0.750 0.440 0.036
Au: 0.250 0.036 0.596
Au: 0.250 0.404 0.439
Tl: 0.750 0.289 0.232
Tl: 0.750 0.768 0.057
Tl: 0.250 0.232 0.943
Tl: 0.250 0.057 0.289
Tl: 0.750 0.943 0.711
Tl: 0.250 0.711 0.768

***

A relaxed Tl2NiIr2S6 crystal, computed with GGA-PBE.

Formation energy (no corrections), eV per atom: -0.329
Space-group type: C2/m, No. 12
N(E_F), states/eV/cell: 2.44

Cell: 6.218 6.218 7.505 Å, 98.68 98.68 120.18°
Fractional coordinates of all 11 atoms:
S: 0.614 0.940 0.338
S: 0.386 0.060 0.662
S: 0.060 0.386 0.662
S: 0.940 0.614 0.338
S: 0.734 0.734 0.659
S: 0.266 0.266 0.341
Tl: 0.172 0.828 0.000
Tl: 0.828 0.172 0.000
Ni: 0.000 0.000 0.500
Ir: 0.668 0.332 0.500
Ir: 0.332 0.668 0.500

***

A relaxed BeCr2HIr crystal, computed with GGA-PBE.

Space-group type: P4/mmm, No. 123
N(E_F), states/eV/cell: 4.61
E_tot, eV/cell: -35.10

Cell: 3.476 3.476 4.063 Å, 90.00 90.00 90.00°
Last column: magnetic moment on the atom in μB.
Fractional coordinates of all 5 atoms:
Cr: 0.000 0.500 0.000  0.40
Cr: 0.500 0.000 0.000  0.40
Be: 0.000 0.000 0.500  -0.01
H: 0.000 0.000 0.000  0.00
Ir: 0.500 0.500 0.500  0.09